(1)
CaPdC2I | GGA-PBE | optimized geometry

Unit cell a=4.3854 b=5.0498 c=4.3854 alpha=90.00 beta=90.00 gamma=90.00
Closest atoms and distances in Å follow each position.
Element x y z (fractional)
I 0.0000 0.0000 0.0000  4 C 2.19
Ca 0.5000 0.5000 0.5000  4 Pd 3.10, 8 C 3.34
C 0.0000 0.0000 0.5000  2 I 2.19
C 0.5000 0.0000 0.0000  2 I 2.19
Pd 0.0000 0.5000 0.0000  2 I 2.52

Results
Crystal system ... tetragonal

---

(2)
Ca2PtCI | GGA-PBE | optimized geometry

Unit cell a=5.3876 b=3.9301 c=5.3876 alpha=90.00 beta=90.00 gamma=90.00
Closest atoms and distances in Å follow each position.
Element x y z (fractional)
I 0.5000 0.5000 0.5000  8 Ca 3.33
Ca 0.0000 0.0000 0.5000  2 C 2.69
Ca 0.5000 0.0000 0.0000  2 C 2.69
C 0.0000 0.0000 0.0000  2 Pt 1.97
Pt 0.0000 0.5000 0.0000  2 C 1.97

Results
Crystal system ... tetragonal

---

(3)
Rb2CaCI6 | GGA-PBE | optimized geometry

Unit cell a=8.2176 b=8.2176 c=8.2184 alpha=60.00 beta=60.00 gamma=90.00
Closest atoms and distances in Å follow each position.
Element x y z (fractional)
I 0.2679 0.2679 0.4642  1 C 2.70
I 0.7321 0.7321 0.5358  1 C 2.70
I 0.2679 0.2679 0.0000  1 C 2.70
I 0.7321 0.7321 0.0000  1 C 2.70
I 0.7321 0.2679 0.0000  1 C 2.70
I 0.2679 0.7321 0.0000  1 C 2.70
Ca 0.0000 0.0000 0.0000  6 I 3.11
C 0.5000 0.5000 0.0000  6 I 2.70
Rb 0.7500 0.2500 0.5000  12 I 4.11
Rb 0.2500 0.7500 0.5000  12 I 4.11

Results
Crystal system ... cubic

---

Short version: formation energy from raw total energies = 1.952; -0.615; -0.516 eV per atom, in the order given.
Short version: DOS at the Fermi energy = 4.96; 2.48; 0.00 states/eV/f.u., in the order given.
Short version: raw total energy = -3.487; -4.779; -2.762 eV/atom, in the order given.